Density functional theory data (PBE-GGA) for crystalline KAg2Os at its relaxed geometry.

extended XYZ file:
```
4
Lattice="1.507 -2.352 0.000 1.507 2.352 0.000 0.000 0.000 10.719" Properties=species:S:1:pos:R:3 pbc="T T T"
K 0.000 0.000 0.000
Ag 0.000 0.000 5.189
Ag 1.507 0.000 7.675
Os 1.507 0.000 2.787
```

Values from the calculation:
crystal system: orthorhombic
SG: No. 35
polymorph energy (0 for the lowest one): 0.947 kcal/mol of atoms

Density functional theory data (PBE-GGA) for crystalline ZrTiAl at its relaxed geometry.

extended XYZ file:
```
6
Lattice="-2.576 2.759 3.971 2.576 -2.759 3.971 2.576 2.759 -3.971" Properties=species:S:1:pos:R:3 pbc="T T T"
Zr 0.000 1.380 0.935
Zr 2.576 1.380 3.035
Ti 1.288 1.380 -1.985
Ti 1.288 -1.380 1.985
Al 2.576 0.000 0.000
Al 0.000 0.000 3.971
```

Values from the calculation:
crystal system: orthorhombic
SG: No. 74
polymorph energy (0 for the lowest one): 0.943 kcal/mol of atoms

Density functional theory data (PBE-GGA) for crystalline ScTlCd at its relaxed geometry.

extended XYZ file:
```
6
Lattice="5.090 0.000 0.000 -2.545 4.408 0.000 0.000 0.000 6.140" Properties=species:S:1:pos:R:3 pbc="T T T"
Sc 0.000 2.939 1.535
Sc 2.545 1.469 4.605
Tl 0.000 2.939 4.605
Tl 2.545 1.469 1.535
Cd 0.000 0.000 0.000
Cd 0.000 0.000 3.070
```

Values from the calculation:
crystal system: hexagonal
SG: No. 194

Density functional theory data (PBE-GGA) for crystalline LiAcAg2 at its relaxed geometry.

extended XYZ file:
```
4
Lattice="5.249 0.000 0.000 0.000 5.249 0.000 0.000 0.000 3.775" Properties=species:S:1:pos:R:3 pbc="T T T"
Li 0.000 0.000 0.000
Ac 2.625 2.625 0.000
Ag 0.000 2.625 1.887
Ag 2.625 0.000 1.887
```

Values from the calculation:
crystal system: tetragonal
SG: No. 123
polymorph energy (0 for the lowest one): 3.687 kcal/mol of atoms

Density functional theory data (PBE-GGA) for crystalline Ce2PrSi2 at its relaxed geometry.

extended XYZ file:
```
10
Lattice="7.740 0.000 0.000 0.000 7.740 0.000 0.000 0.000 4.211" Properties=species:S:1:pos:R:3 pbc="T T T"
Ce 1.380 2.490 0.000
Ce 2.490 6.360 0.000
Ce 5.250 1.380 0.000
Ce 6.360 5.250 0.000
Pr 0.000 0.000 2.105
Pr 3.870 3.870 2.105
Si 0.863 4.733 2.105
Si 3.006 0.863 2.105
Si 4.733 6.876 2.105
Si 6.876 3.006 2.105
```

Values from the calculation:
crystal system: tetragonal
SG: No. 127
raw formation energy: -0.5583 eV/atom
polymorph energy (0 for the lowest one): 0.000 kcal/mol of atoms

Density functional theory data (PBE-GGA) for crystalline K2ZrPb at its relaxed geometry.

extended XYZ file:
```
4
Lattice="4.500 0.000 0.000 0.000 4.512 0.000 0.000 0.000 6.294" Properties=species:S:1:pos:R:3 pbc="T T T"
K 0.000 0.000 0.000
K 2.250 2.256 0.000
Zr 0.000 2.256 3.147
Pb 2.250 0.000 3.147
```

Values from the calculation:
crystal system: orthorhombic
SG: No. 47
polymorph energy (0 for the lowest one): 4.899 kcal/mol of atoms

Final energy (computed, eV per atom): -3.736; -7.024; -3.381; -3.019; -6.057; -3.211
Calculated volume (computed, Å³ per atom): 18.99; 18.82; 22.96; 26.00; 25.22; 31.95